Entry 1:
! NaYTe3 (PBE, optimized geometry); values from VASP
! - Crystal system: cubic
! - Space group: Pm-3m
! - Fermi-level density of states: 9.263 states/eV/f.u.
! - Total magnetization: 0.0 μB/f.u.
! - Total energy: -20.27 eV for the cell shown
! - Energy relative to the lowest polymorph listed for this composition: 0 meV per atom
! - Formation energy from raw total energies: -0.6129 eV/atom
&SYSTEM
  ibrav = 0, nat = 5, ntyp = 3
/
ATOMIC_SPECIES
Na 22.99 Na.upf
Te 127.60 Te.upf
Y 88.91 Y.upf
CELL_PARAMETERS angstrom
5.897 0.000 0.000
0.000 5.897 0.000
0.000 0.000 5.897
ATOMIC_POSITIONS angstrom
Na 2.949 2.949 2.949
Te 0.000 2.949 0.000
Te 0.000 0.000 2.949
Te 2.949 0.000 0.000
Y 0.000 0.000 0.000

Entry 2:
! AcGe3Ru3 (PBE, optimized geometry); values from VASP
! - Crystal system: hexagonal
! - Space group: P6_3/m
! - Fermi-level density of states: 6.458 states/eV/f.u.
! - Total magnetization: 0.0 μB/f.u.
! - Total energy: -95.96 eV for the cell shown
! - Energy relative to the lowest polymorph listed for this composition: 0 meV per atom
! - Formation enthalpy at 0 K: -211.5 kJ/mol of formula units
&SYSTEM
  ibrav = 0, nat = 14, ntyp = 3
/
ATOMIC_SPECIES
Ge 72.64 Ge.upf
Ru 101.07 Ru.upf
Ac 227.00 Ac.upf
CELL_PARAMETERS angstrom
4.295 -7.440 0.000
4.295 7.440 0.000
0.000 0.000 4.445
ATOMIC_POSITIONS angstrom
Ge 5.746 -0.585 3.334
Ge 2.844 0.585 1.111
Ge 6.661 2.171 1.111
Ge 1.929 -2.171 3.334
Ge 5.210 -4.684 3.334
Ge 3.380 4.684 1.111
Ru 1.102 -1.198 1.111
Ru 3.809 5.886 3.334
Ru 7.488 1.198 3.334
Ru 1.589 0.355 3.334
Ru 4.782 -5.886 1.111
Ru 7.002 -0.355 1.111
Ac 4.295 2.480 3.334
Ac 4.295 -2.480 1.111

Entry 3:
! ZrTi2ZnAu (PBE, optimized geometry); values from VASP
! - Crystal system: tetragonal
! - Space group: P4/mmm
! - Fermi-level density of states: 7.236 states/eV/f.u.
! - Total magnetization: 0.0 μB/f.u.
! - Total energy: -25.16 eV for the cell shown
! - Formation enthalpy at 0 K: 359.9 kJ/mol of formula units
&SYSTEM
  ibrav = 0, nat = 5, ntyp = 4
/
ATOMIC_SPECIES
Ti 47.87 Ti.upf
Zr 91.22 Zr.upf
Au 196.97 Au.upf
Zn 65.41 Zn.upf
CELL_PARAMETERS angstrom
4.869 0.000 0.000
0.000 5.194 0.000
0.000 0.000 4.869
ATOMIC_POSITIONS angstrom
Ti 2.434 0.000 0.000
Ti 0.000 0.000 2.434
Zr 0.000 2.597 0.000
Au 0.000 0.000 0.000
Zn 2.434 2.597 2.434

Entry 4:
! Er5Hg2Pt2 (PBE, optimized geometry); values from VASP
! - Crystal system: orthorhombic
! - Space group: Cmce
! - Fermi-level density of states: 7.375 states/eV/f.u.
! - Total magnetization: 0.0 μB/f.u.
! - Total energy: -85.72 eV for the cell shown
! - Formation enthalpy at 0 K: -710.4 kJ/mol of formula units
&SYSTEM
  ibrav = 0, nat = 18, ntyp = 3
/
ATOMIC_SPECIES
Er 167.26 Er.upf
Pt 195.08 Pt.upf
Hg 200.59 Hg.upf
CELL_PARAMETERS angstrom
7.517 0.000 0.000
0.000 7.707 0.000
0.000 -3.853 7.797
ATOMIC_POSITIONS angstrom
Er 6.268 5.187 1.923
Er 1.249 2.520 1.923
Er 6.268 1.334 5.874
Er 0.000 0.000 0.000
Er 5.008 1.334 1.923
Er 2.509 6.373 1.923
Er 5.008 -2.520 5.874
Er 2.509 2.520 5.874
Er 3.759 3.853 0.000
Er 1.249 -1.334 5.874
Pt 2.746 1.022 0.000
Pt 6.505 2.831 0.000
Pt 4.771 6.684 0.000
Pt 1.012 4.876 0.000
Hg 3.759 3.853 3.315
Hg 0.000 0.000 3.315
Hg 0.000 3.853 4.482
Hg 3.759 0.000 4.482